Record 1
Below is a geometry-optimized La2ZrOs2 structure, with properties calculated at the PBE level.

a b c (Å): 7.1871 7.1871 4.7271
angles (deg): 90.00 90.00 90.00
Space group P4/mbm (No. 127)
One atom of each set of equivalent atoms:
La  0.1790  0.3210  0.0000 (multiplicity 4)
Zr  0.0000  0.0000  0.5000 (multiplicity 2)
Os  0.1209  0.6209  0.5000 (multiplicity 4)

Its energy is -82.082 eV/cell. The calculated formation energy is -36 meV/atom. For the density of states at the Fermi level, the calculation gives 4.42 states/eV/f.u. The volume is 24.42 Å³/atom.

***

Record 2
Below is a geometry-optimized LaZrOs2 structure, with properties calculated at the PBE level.

a b c (Å): 4.0431 4.0431 9.8306
angles (deg): 90.00 90.00 90.00
Space group I-4m2 (No. 119)
One atom of each set of equivalent atoms:
La  0.0000  0.0000  0.0000 (multiplicity 2)
Zr  0.0000  0.5000  0.2500 (multiplicity 2)
Os  0.0000  0.0000  0.5000 (multiplicity 2)
Os  0.0000  0.5000  0.7500 (multiplicity 2)

Its energy is -69.094 eV/cell. The calculated formation energy is 347 meV/atom. For the density of states at the Fermi level, the calculation gives 6.02 states/eV/f.u. The volume is 20.09 Å³/atom.

***

Record 3
Below is a geometry-optimized La2ZrOs structure, with properties calculated at the PBE level.

a b c (Å): 10.0371 10.0371 5.2279
angles (deg): 90.00 90.00 90.00
Space group I-42d (No. 122)
One atom of each set of equivalent atoms:
La  0.1170  0.7500  0.1250 (multiplicity 8)
Zr  0.0000  0.0000  0.5000 (multiplicity 4)
Os  0.0000  0.0000  0.0000 (multiplicity 4)

Its energy is -113.193 eV/cell. The calculated formation energy is 334 meV/atom. For the density of states at the Fermi level, the calculation gives 6.01 states/eV/f.u. The volume is 32.92 Å³/atom. Its energy above the most stable polymorph in this dataset is 390 meV per atom.

***

Record 4
Below is a geometry-optimized LaZrOs2 structure, with properties calculated at the PBE level.

a b c (Å): 3.3009 3.3009 25.8365
angles (deg): 90.00 90.00 120.00
Space group R-3m (No. 166, hexagonal axes)
One atom of each set of equivalent atoms:
La  0.0000  0.0000  0.0000 (multiplicity 3)
Zr  0.0000  0.0000  0.5000 (multiplicity 3)
Os  0.0000  0.0000  0.2440 (multiplicity 6)

Its energy is -104.004 eV/cell. The calculated formation energy is 317 meV/atom. For the density of states at the Fermi level, the calculation gives 4.52 states/eV/f.u. The volume is 20.32 Å³/atom.

***

Record 5
Below is a geometry-optimized La2ZrOs structure, with properties calculated at the PBE level.

a b c (Å): 6.2007 10.0552 3.3038
angles (deg): 90.00 113.96 90.00
Space group C2/m (No. 12)
One atom of each set of equivalent atoms:
La  0.2500  0.2500  0.0000 (multiplicity 4)
Zr  0.0000  0.0000  0.5000 (multiplicity 2)
Os  0.0000  0.5000  0.5000 (multiplicity 2)

Its energy is -56.282 eV/cell. The calculated formation energy is 373 meV/atom. For the density of states at the Fermi level, the calculation gives 5.14 states/eV/f.u. The volume is 23.53 Å³/atom. Its energy above the most stable polymorph in this dataset is 429 meV per atom.

***

Record 6
Below is a geometry-optimized LaZr2Os structure, with properties calculated at the PBE level.

a b c (Å): 8.1527 8.1527 6.1427
angles (deg): 90.00 90.00 90.00
Space group I-42d (No. 122)
One atom of each set of equivalent atoms:
La  0.0000  0.0000  0.0000 (multiplicity 4)
Zr  0.1809  0.7500  0.6250 (multiplicity 8)
Os  0.0000  0.0000  0.5000 (multiplicity 4)

Its energy is -130.612 eV/cell. The calculated formation energy is 150 meV/atom. For the density of states at the Fermi level, the calculation gives 5.03 states/eV/f.u. The volume is 25.52 Å³/atom. Its energy above the most stable polymorph in this dataset is 289 meV per atom.

***

Record 7
Below is a geometry-optimized LaZr2Os2 structure, with properties calculated at the PBE level.

a b c (Å): 8.0419 8.0419 3.2645
angles (deg): 90.00 90.00 90.00
Space group P4/mbm (No. 127)
One atom of each set of equivalent atoms:
La  0.0000  0.0000  0.0000 (multiplicity 2)
Zr  0.1428  0.3572  0.5000 (multiplicity 4)
Os  0.1465  0.6465  0.0000 (multiplicity 4)

Its energy is -90.319 eV/cell. The calculated formation energy is -135 meV/atom. For the density of states at the Fermi level, the calculation gives 3.24 states/eV/f.u. The volume is 21.11 Å³/atom. Its energy above the most stable polymorph in this dataset is 152 meV per atom.

***

Record 8
Below is a geometry-optimized LaZrOs2 structure, with properties calculated at the PBE level.

a b c (Å): 3.3223 4.5907 5.0632
angles (deg): 90.00 90.00 90.00
Space group Pmmm (No. 47)
One atom of each set of equivalent atoms:
La  0.0000  0.0000  0.0000 (multiplicity 1)
Zr  0.5000  0.0000  0.5000 (multiplicity 1)
Os  0.0000  0.5000  0.5000 (multiplicity 1)
Os  0.5000  0.5000  0.0000 (multiplicity 1)

Its energy is -34.453 eV/cell. The calculated formation energy is 371 meV/atom. For the density of states at the Fermi level, the calculation gives 3.27 states/eV/f.u. The volume is 19.31 Å³/atom.

***

Record 9
Below is a geometry-optimized LaZr2Os2 structure, with properties calculated at the PBE level.

a b c (Å): 8.1446 8.1446 3.1004
angles (deg): 90.00 90.00 90.00
Space group P4/mbm (No. 127)
One atom of each set of equivalent atoms:
La  0.0000  0.0000  0.0000 (multiplicity 2)
Zr  0.1390  0.3610  0.0000 (multiplicity 4)
Os  0.1508  0.6508  0.5000 (multiplicity 4)

Its energy is -89.758 eV/cell. The calculated formation energy is -79 meV/atom. For the density of states at the Fermi level, the calculation gives 7.28 states/eV/f.u. The volume is 20.57 Å³/atom. Its energy above the most stable polymorph in this dataset is 208 meV per atom.

***

Record 10
Below is a geometry-optimized LaZrOs2 structure, with properties calculated at the PBE level.

a b c (Å): 10.5836 3.1538 5.0840
angles (deg): 90.00 105.96 90.00
Space group Cm (No. 8)
One atom of each set of equivalent atoms:
La  0.0000  0.0000  0.0000 (multiplicity 2)
Zr  0.2056  0.0000  0.6958 (multiplicity 2)
Os  0.2640  0.5000  0.3130 (multiplicity 2)
Os  0.4702  0.0000  0.4599 (multiplicity 2)

Its energy is -70.978 eV/cell. The calculated formation energy is 112 meV/atom. For the density of states at the Fermi level, the calculation gives 4.07 states/eV/f.u. The volume is 20.39 Å³/atom.

***

Record 11
Below is a geometry-optimized La2ZrOs structure, with properties calculated at the PBE level.

a b c (Å): 3.5533 5.1399 5.1509
angles (deg): 90.00 90.00 90.00
Space group Pmmm (No. 47)
One atom of each set of equivalent atoms:
La  0.0000  0.0000  0.0000 (multiplicity 1)
La  0.5000  0.5000  0.0000 (multiplicity 1)
Zr  0.0000  0.5000  0.5000 (multiplicity 1)
Os  0.5000  0.0000  0.5000 (multiplicity 1)

Its energy is -28.357 eV/cell. The calculated formation energy is 319 meV/atom. For the density of states at the Fermi level, the calculation gives 5.06 states/eV/f.u. The volume is 23.52 Å³/atom. Its energy above the most stable polymorph in this dataset is 375 meV per atom.

***

Record 12
Below is a geometry-optimized LaZr2Os structure, with properties calculated at the PBE level.

a b c (Å): 3.2748 4.5354 6.1829
angles (deg): 90.00 104.35 90.00
Space group P2/m (No. 10)
One atom of each set of equivalent atoms:
La  0.0000  0.0000  0.0000 (multiplicity 1)
Zr  0.2938  0.5000  0.7117 (multiplicity 2)
Os  0.5000  0.0000  0.5000 (multiplicity 1)

Its energy is -33.054 eV/cell. The calculated formation energy is 50 meV/atom. For the density of states at the Fermi level, the calculation gives 3.37 states/eV/f.u. The volume is 22.24 Å³/atom. Its energy above the most stable polymorph in this dataset is 189 meV per atom.

***

Record 13
Below is a geometry-optimized La2ZrOs structure, with properties calculated at the PBE level.

a b c (Å): 4.3278 4.3278 10.3066
angles (deg): 90.00 90.00 90.00
Space group I-4m2 (No. 119)
One atom of each set of equivalent atoms:
La  0.0000  0.0000  0.0000 (multiplicity 2)
La  0.0000  0.5000  0.2500 (multiplicity 2)
Zr  0.0000  0.0000  0.5000 (multiplicity 2)
Os  0.0000  0.5000  0.7500 (multiplicity 2)

Its energy is -56.641 eV/cell. The calculated formation energy is 328 meV/atom. For the density of states at the Fermi level, the calculation gives 5.14 states/eV/f.u. The volume is 24.13 Å³/atom. Its energy above the most stable polymorph in this dataset is 384 meV per atom.

***

Record 14
Below is a geometry-optimized La2ZrOs structure, with properties calculated at the PBE level.

a b c (Å): 4.9388 4.9469 8.5824
angles (deg): 90.00 90.00 90.00
Space group Cmmm (No. 65)
One atom of each set of equivalent atoms:
La  0.0000  0.0000  0.2107 (multiplicity 4)
Zr  0.0000  0.5000  0.5000 (multiplicity 2)
Os  0.0000  0.5000  0.0000 (multiplicity 2)

Its energy is -57.367 eV/cell. The calculated formation energy is 237 meV/atom. For the density of states at the Fermi level, the calculation gives 5.61 states/eV/f.u. The volume is 26.21 Å³/atom. Its energy above the most stable polymorph in this dataset is 293 meV per atom.

***

Record 15
Below is a geometry-optimized LaZrOs3 structure, with properties calculated at the PBE level.

a b c (Å): 4.8981 4.8981 4.8981
angles (deg): 90.00 90.00 90.00
Space group Pm-3m (No. 221)
One atom of each set of equivalent atoms:
La  0.0000  0.0000  0.0000 (multiplicity 1)
Zr  0.5000  0.5000  0.5000 (multiplicity 1)
Os  0.0000  0.5000  0.5000 (multiplicity 3)

Its energy is -40.492 eV/cell. The calculated formation energy is 1335 meV/atom. For the density of states at the Fermi level, the calculation gives 5.37 states/eV/f.u. The volume is 23.50 Å³/atom. Its energy above the most stable polymorph in this dataset is 0 meV per atom.

***

Record 16
Below is a geometry-optimized LaZr2Os structure, with properties calculated at the PBE level.

a b c (Å): 11.9753 3.3534 5.3014
angles (deg): 90.00 116.19 90.00
Space group C2/m (No. 12)
One atom of each set of equivalent atoms:
La  0.0000  0.0000  0.0000 (multiplicity 2)
Zr  0.2029  0.0000  0.7027 (multiplicity 4)
Os  0.0000  0.5000  0.5000 (multiplicity 2)

Its energy is -66.960 eV/cell. The calculated formation energy is -57 meV/atom. For the density of states at the Fermi level, the calculation gives 3.46 states/eV/f.u. The volume is 23.88 Å³/atom. Its energy above the most stable polymorph in this dataset is 82 meV per atom.

***

Record 17
Below is a geometry-optimized LaZr2Os2 structure, with properties calculated at the PBE level.

a b c (Å): 4.4768 4.4768 11.7717
angles (deg): 90.00 90.00 90.00
Space group I4/mmm (No. 139)
One atom of each set of equivalent atoms:
La  0.0000  0.0000  0.0000 (multiplicity 2)
Zr  0.0000  0.0000  0.3674 (multiplicity 4)
Os  0.0000  0.5000  0.2500 (multiplicity 4)

Its energy is -87.515 eV/cell. The calculated formation energy is 145 meV/atom. For the density of states at the Fermi level, the calculation gives 4.47 states/eV/f.u. The volume is 23.59 Å³/atom. Its energy above the most stable polymorph in this dataset is 432 meV per atom.

***

Record 18
Below is a geometry-optimized LaZr2Os structure, with properties calculated at the PBE level.

a b c (Å): 5.0120 5.0120 3.3382
angles (deg): 90.00 90.00 90.00
Space group P4/mmm (No. 123)
One atom of each set of equivalent atoms:
La  0.0000  0.0000  0.0000 (multiplicity 1)
Zr  0.0000  0.5000  0.5000 (multiplicity 2)
Os  0.5000  0.5000  0.0000 (multiplicity 1)

Its energy is -32.536 eV/cell. The calculated formation energy is 179 meV/atom. For the density of states at the Fermi level, the calculation gives 4.07 states/eV/f.u. The volume is 20.96 Å³/atom. Its energy above the most stable polymorph in this dataset is 318 meV per atom.

***

Record 19
Below is a geometry-optimized La2ZrOs structure, with properties calculated at the PBE level.

a b c (Å): 7.3633 7.3633 7.3633
angles (deg): 90.00 90.00 90.00
Space group Fm-3m (No. 225)
One atom of each set of equivalent atoms:
La  0.2500  0.2500  0.2500 (multiplicity 8)
Zr  0.0000  0.0000  0.0000 (multiplicity 4)
Os  0.0000  0.0000  0.5000 (multiplicity 4)

Its energy is -112.444 eV/cell. The calculated formation energy is 380 meV/atom. For the density of states at the Fermi level, the calculation gives 6.39 states/eV/f.u. The volume is 24.95 Å³/atom. Its energy above the most stable polymorph in this dataset is 436 meV per atom.

***

Record 20
Below is a geometry-optimized LaZr2Os structure, with properties calculated at the PBE level.

a b c (Å): 4.2137 4.2137 5.0429
angles (deg): 90.00 90.00 90.00
Space group P4/mmm (No. 123)
One atom of each set of equivalent atoms:
La  0.0000  0.0000  0.0000 (multiplicity 1)
Zr  0.0000  0.5000  0.5000 (multiplicity 2)
Os  0.5000  0.5000  0.0000 (multiplicity 1)

Its energy is -32.215 eV/cell. The calculated formation energy is 260 meV/atom. For the density of states at the Fermi level, the calculation gives 4.94 states/eV/f.u. The volume is 22.38 Å³/atom. Its energy above the most stable polymorph in this dataset is 398 meV per atom.